# LiZrTa | Alexandria | PBE | optimized geometry
data_LiZrTa
_chemical_formula_sum 'Li2 Zr2 Ta2'
_symmetry_space_group_name_H-M 'P 1'
_symmetry_Int_Tables_number 1
_cell_length_a 2.849
_cell_length_b 6.001
_cell_length_c 7.270
_cell_angle_alpha 94.93
_cell_angle_beta 101.28
_cell_angle_gamma 103.65
loop_
_symmetry_equiv_pos_as_xyz
'x,y,z'
loop_
_atom_site_label
_atom_site_type_symbol
_atom_site_fract_x
_atom_site_fract_y
_atom_site_fract_z
Li1 Li 0.000 0.000 0.000
Li2 Li 0.419 0.134 0.697
Zr1 Zr 0.269 0.538 0.994
Zr2 Zr 0.815 0.281 0.345
Ta1 Ta 0.080 0.796 0.356
Ta2 Ta 0.654 0.646 0.655
# - energy of formation from the pure elements (eV/atom) = 0.281